1.
Material: Re2TcAs
Method: DFT, GGA-PBE
State: relaxed

Cell lengths 6.8282, 6.8282, 6.8282 Å; angles 131.50, 131.50, 71.02 degrees
Positions (direct):
1 Re 0.1224 0.6250 0.9974
2 Re 0.3750 0.3724 0.4974
3 Re 0.6276 0.1250 0.0026
4 Re 0.8750 0.8776 0.5026
5 Tc 0.0000 0.0000 0.0000
6 Tc 0.7500 0.2500 0.5000
7 As 0.2500 0.7500 0.5000
8 As 0.5000 0.5000 0.0000

Values from the calculation:
The density of states at the Fermi level is 8.3 states/eV per cell. For the magnetization, the calculation gives 0.000 μB per cell. The calculation puts the density at 10.4 Mg/m³. Its volume is 21.9 Å³/atom. Its formation energy is 1121 meV/atom. The space-group type is I-42d.

=====

2.
Material: InAs5
Method: DFT, GGA-PBE
State: relaxed

Cell lengths 3.0106, 3.0106, 13.7671 Å; angles 90.00, 90.00, 90.00 degrees
Positions (direct):
1 In 0.0000 0.0000 0.0000
2 As 0.0000 0.0000 0.3438
3 As 0.0000 0.0000 0.6562
4 As 0.5000 0.5000 0.1951
5 As 0.5000 0.5000 0.5000
6 As 0.5000 0.5000 0.8049

Values from the calculation:
The density of states at the Fermi level is 2.3 states/eV per cell. For the energy above the most stable polymorph in this dataset, the calculation gives 304 meV/atom. For the magnetization, the calculation gives 0.000 μB per cell. The calculation puts the density at 6.5 Mg/m³. Its volume is 20.8 Å³/atom. Its formation energy is 441 meV/atom. The space-group type is P4/mmm.

=====

3.
Material: FeReTe2
Method: DFT, GGA-PBE
State: relaxed

Cell lengths 4.7992, 4.7992, 4.7992 Å; angles 60.00, 60.00, 60.00 degrees
Positions (direct):
1 Fe 0.0000 0.0000 0.0000
2 Re 0.2500 0.2500 0.2500
3 Te 0.5000 0.5000 0.5000
4 Te 0.7500 0.7500 0.7500

Values from the calculation:
The density of states at the Fermi level is 5.1 states/eV per cell. For the energy above the most stable polymorph in this dataset, the calculation gives 1060 meV/atom. For the magnetization, the calculation gives 3.597 μB per cell. The calculation puts the density at 10.6 Mg/m³. For the formation energy from raw total energies, the calculation gives 1.21 eV/atom. Its volume is 19.5 Å³/atom. The space-group type is F-43m.

=====

4.
Material: RbCd2As
Method: DFT, GGA-PBE
State: relaxed

Cell lengths 4.5963, 4.5963, 11.6851 Å; angles 90.00, 90.00, 90.00 degrees
Positions (direct):
1 Rb 0.2500 0.2500 0.2452
2 Rb 0.7500 0.7500 0.7548
3 Cd 0.2500 0.2500 0.9390
4 Cd 0.2500 0.7500 0.5000
5 Cd 0.7500 0.2500 0.5000
6 Cd 0.7500 0.7500 0.0610
7 As 0.2500 0.2500 0.6414
8 As 0.7500 0.7500 0.3586

Values from the calculation:
The density of states at the Fermi level is 1.4 states/eV per cell. For the magnetization, the calculation gives 0.000 μB per cell. The calculation puts the density at 5.2 Mg/m³. Its volume is 30.9 Å³/atom. Its formation energy is -217 meV/atom. The space-group type is P4/nmm.

=====

5.
Material: BaLa3Ru
Method: DFT, GGA-PBE
State: relaxed

Cell lengths 13.7269, 13.7269, 13.7269 Å; angles 155.14, 155.14, 35.45 degrees
Positions (direct):
1 Ba 0.0000 0.0000 0.0000
2 Ba 0.7500 0.2500 0.5000
3 La 0.2886 0.2886 0.0000
4 La 0.3770 0.1429 0.2341
5 La 0.7114 0.7114 0.0000
6 La 0.8571 0.0913 0.2341
7 La 0.8571 0.6230 0.7659
8 La 0.9087 0.1429 0.7659
9 Ru 0.2032 0.7032 0.5000
10 Ru 0.2968 0.7968 0.5000

Values from the calculation:
The density of states at the Fermi level is 24.3 states/eV per cell. For the energy above the most stable polymorph in this dataset, the calculation gives 909 meV/atom. For the magnetization, the calculation gives 0.001 μB per cell. The calculation puts the density at 4.8 Mg/m³. Its volume is 45.7 Å³/atom. Its formation energy is 762 meV/atom. The space-group type is I-4m2.

=====

6.
Material: LiReHg2Te
Method: DFT, GGA-PBE
State: relaxed

Cell lengths 5.4216, 5.4216, 5.0434 Å; angles 90.00, 90.00, 90.00 degrees
Positions (direct):
1 Li 0.0000 0.0000 0.0000
2 Re 0.5000 0.5000 0.5000
3 Hg 0.0000 0.5000 0.5000
4 Hg 0.5000 0.0000 0.5000
5 Te 0.5000 0.5000 0.0000

Values from the calculation:
The density of states at the Fermi level is 2.6 states/eV per cell. For the magnetization, the calculation gives 0.000 μB per cell. The calculation puts the density at 8.1 Mg/m³. For the formation energy from raw total energies, the calculation gives 0.43 eV/atom. Its volume is 29.6 Å³/atom. The space-group type is P4/mmm.

=====

7.
Material: TeRuSe2
Method: DFT, GGA-PBE
State: relaxed

Cell lengths 3.8194, 3.8194, 8.2995 Å; angles 94.87, 94.87, 49.22 degrees
Positions (direct):
1 Te 0.0000 0.0000 0.0000
2 Ru 0.5000 0.5000 0.5000
3 Se 0.1788 0.1788 0.3321
4 Se 0.8212 0.8212 0.6679

Values from the calculation:
The density of states at the Fermi level is 2.9 states/eV per cell. For the magnetization, the calculation gives 0.000 μB per cell. The calculation puts the density at 7.0 Mg/m³. For the formation energy from raw total energies, the calculation gives -0.05 eV/atom. Its volume is 22.8 Å³/atom. The space-group type is C2/m.

=====

8.
Material: TlFeSi2
Method: DFT, GGA-PBE
State: relaxed

Cell lengths 3.5762, 3.5177, 5.9617 Å; angles 90.00, 107.36, 90.00 degrees
Positions (direct):
1 Tl 0.0000 0.0000 0.0000
2 Fe 0.3698 0.5000 0.7358
3 Si 0.2433 0.0000 0.4815
4 Si 0.7505 0.5000 0.4961

Values from the calculation:
The density of states at the Fermi level is 2.8 states/eV per cell. For the energy above the most stable polymorph in this dataset, the calculation gives 177 meV/atom. For the magnetization, the calculation gives 0.000 μB per cell. The calculation puts the density at 7.3 Mg/m³. For the formation energy from raw total energies, the calculation gives 0.31 eV/atom. Its volume is 17.9 Å³/atom. The space-group type is Pm.

=====

9.
Material: SrGa3Pt
Method: DFT, GGA-PBE
State: relaxed

Cell lengths 8.4724, 4.4147, 11.2111 Å; angles 90.00, 90.00, 90.00 degrees
Positions (direct):
1 Sr 0.1948 0.2500 0.0144
2 Sr 0.3052 0.7500 0.5144
3 Sr 0.6948 0.2500 0.4856
4 Sr 0.8052 0.7500 0.9856
5 Ga 0.0602 0.2500 0.5898
6 Ga 0.1160 0.7500 0.7979
7 Ga 0.1409 0.7500 0.2165
8 Ga 0.3591 0.2500 0.7165
9 Ga 0.3840 0.2500 0.2979
10 Ga 0.4398 0.7500 0.0898
11 Ga 0.5602 0.2500 0.9102
12 Ga 0.6160 0.7500 0.7021
13 Ga 0.6409 0.7500 0.2835
14 Ga 0.8591 0.2500 0.7835
15 Ga 0.8840 0.2500 0.2021
16 Ga 0.9398 0.7500 0.4102
17 Pt 0.0974 0.2500 0.3548
18 Pt 0.4026 0.7500 0.8548
19 Pt 0.5974 0.2500 0.1452
20 Pt 0.9026 0.7500 0.6452

Values from the calculation:
The density of states at the Fermi level is 5.6 states/eV per cell. For the magnetization, the calculation gives 0.000 μB per cell. The calculation puts the density at 7.8 Mg/m³. Its volume is 21.0 Å³/atom. Its formation energy is -624 meV/atom. The space-group type is Pnma.

=====

10.
Material: BeTeSeBr2
Method: DFT, GGA-PBE
State: relaxed

Cell lengths 4.6178, 4.6178, 5.2911 Å; angles 90.00, 90.00, 90.00 degrees
Positions (direct):
1 Be 0.0000 0.0000 0.0000
2 Te 0.5000 0.5000 0.5000
3 Se 0.0000 0.0000 0.5000
4 Br 0.0000 0.5000 0.0000
5 Br 0.5000 0.0000 0.0000

Values from the calculation:
The density of states at the Fermi level is 2.9 states/eV per cell. For the energy above the most stable polymorph in this dataset, the calculation gives 0 meV/atom. For the magnetization, the calculation gives 0.001 μB per cell. The calculation puts the density at 5.5 Mg/m³. For the formation energy from raw total energies, the calculation gives 0.04 eV/atom. Its volume is 22.6 Å³/atom. The space-group type is P4/mmm.

=====

11.
Material: Tl2Hg5Au2
Method: DFT, GGA-PBE
State: relaxed

Cell lengths 7.9274, 7.9274, 10.3763 Å; angles 129.88, 129.88, 32.62 degrees
Positions (direct):
1 Tl 0.1254 0.1254 0.3427
2 Tl 0.8746 0.8746 0.6573
3 Hg 0.1809 0.1809 0.0184
4 Hg 0.3629 0.3629 0.3993
5 Hg 0.5000 0.5000 0.0000
6 Hg 0.6371 0.6371 0.6007
7 Hg 0.8191 0.8191 0.9816
8 Au 0.4511 0.4511 0.2223
9 Au 0.5489 0.5489 0.7777

Values from the calculation:
The density of states at the Fermi level is 1.9 states/eV per cell. For the magnetization, the calculation gives 0.000 μB per cell. The calculation puts the density at 11.5 Mg/m³. Its volume is 29.1 Å³/atom. Its formation energy is 39 meV/atom. The space-group type is C2/m.

=====

12.
Material: Rb2Mg
Method: DFT, GGA-PBE
State: relaxed

Cell lengths 19.5899, 19.5899, 19.5899 Å; angles 166.82, 166.82, 18.68 degrees
Positions (direct):
1 Rb 0.3096 0.5596 0.7500
2 Rb 0.4404 0.6904 0.7500
3 Rb 0.5596 0.3096 0.2500
4 Rb 0.6904 0.4404 0.2500
5 Mg 0.1250 0.8750 0.2500
6 Mg 0.8750 0.1250 0.7500

Values from the calculation:
The density of states at the Fermi level is 4.2 states/eV per cell. For the energy above the most stable polymorph in this dataset, the calculation gives 55 meV/atom. For the magnetization, the calculation gives 0.000 μB per cell. The calculation puts the density at 1.7 Mg/m³. Its volume is 65.1 Å³/atom. Its formation energy is 214 meV/atom. The space-group type is I4_1/amd.

=====

13.
Material: Ac4Pr7Nd
Method: DFT, GGA-PBE
State: relaxed

Cell lengths 3.8194, 3.8194, 37.1075 Å; angles 90.00, 90.00, 120.00 degrees
Positions (direct):
1 Ac 0.3333 0.6667 0.1652
2 Ac 0.3333 0.6667 0.4154
3 Ac 0.6667 0.3333 0.5846
4 Ac 0.6667 0.3333 0.8348
5 Pr 0.0000 0.0000 0.2500
6 Pr 0.0000 0.0000 0.5000
7 Pr 0.0000 0.0000 0.7500
8 Pr 0.3333 0.6667 0.6693
9 Pr 0.3333 0.6667 0.9198
10 Pr 0.6667 0.3333 0.0802
11 Pr 0.6667 0.3333 0.3307
12 Nd 0.0000 0.0000 0.0000

Values from the calculation:
The density of states at the Fermi level is 20.4 states/eV per cell. For the magnetization, the calculation gives 0.000 μB per cell. The calculation puts the density at 7.2 Mg/m³. Its volume is 39.1 Å³/atom. Its formation energy is 29 meV/atom. The space-group type is P-3m1.

=====

14.
Material: Tb2Pr2Pt3
Method: DFT, GGA-PBE
State: relaxed

Cell lengths 7.7363, 7.7363, 7.7363 Å; angles 109.47, 109.47, 109.47 degrees
Positions (direct):
1 Tb 0.0000 0.8788 0.5000
2 Tb 0.5000 0.0000 0.8788
3 Tb 0.6212 0.6212 0.6212
4 Tb 0.8788 0.5000 0.0000
5 Pr 0.0000 0.3743 0.5000
6 Pr 0.1257 0.1257 0.1257
7 Pr 0.3743 0.5000 0.0000
8 Pr 0.5000 0.0000 0.3743
9 Pt 0.1139 0.7500 0.8639
10 Pt 0.2500 0.6361 0.3861
11 Pt 0.3861 0.2500 0.6361
12 Pt 0.6361 0.3861 0.2500
13 Pt 0.7500 0.8639 0.1139
14 Pt 0.8639 0.1139 0.7500

Values from the calculation:
The density of states at the Fermi level is 11.3 states/eV per cell. For the magnetization, the calculation gives 0.000 μB per cell. The calculation puts the density at 11.0 Mg/m³. Its volume is 25.5 Å³/atom. Its formation energy is -1008 meV/atom. The space-group type is I2_13.

=====

15.
Material: Cs2KTl2
Method: DFT, GGA-PBE
State: relaxed

Cell lengths 7.7521, 7.7521, 7.5813 Å; angles 98.76, 98.76, 41.66 degrees
Positions (direct):
1 Cs 0.1452 0.1452 0.0644
2 Cs 0.8548 0.8548 0.9356
3 K 0.5000 0.5000 0.5000
4 Tl 0.2371 0.2371 0.5831
5 Tl 0.7629 0.7629 0.4169

Values from the calculation:
The density of states at the Fermi level is 3.0 states/eV per cell. For the energy above the most stable polymorph in this dataset, the calculation gives 23 meV/atom. For the magnetization, the calculation gives 0.000 μB per cell. The calculation puts the density at 4.0 Mg/m³. Its volume is 59.8 Å³/atom. Its formation energy is -23 meV/atom. The space-group type is C2/m.